Material: Si5Au
Method: DFT, PBE-GGA
State: optimized geometry

Results
- Polymorph energy (0 for the lowest one): 9 meV per atom
- VASP energy: -28.75 eV per formula unit
- Calculated volume: 98.53 Å³/f.u.
- Mass density: 5.69 g/cm³
- Formation energy without anion corrections: 0.27 eV/atom

abc: 4.9873 3.4981 11.2954
angles: 90.00 90.00 90.00
Closest atoms and distances in Å follow each position.
Space group Amm2 (No. 38)
Asymmetric unit:
Si (0.0000, 0.0000, 0.0000) x2  6 Si 2.52-2.59
Si (0.0000, 0.0000, 0.3313) x2  6 Si 2.54-2.59
Si (0.0000, 0.0000, 0.6623) x2  4 Si 2.53-2.59, 2 Au 2.54
Si (0.5000, 0.0000, 0.0339) x2  4 Si 2.51-2.52, 2 Au 2.60
Si (0.5000, 0.0000, 0.3745) x2  4 Si 2.51-2.54, 2 Au 2.60
Au (0.5000, 0.0000, 0.7038) x2  6 Si 2.54-2.60

---

Material: ScCoPb3
Method: DFT, PBE-GGA
State: optimized geometry

Results
- Polymorph energy (0 for the lowest one): 0 meV per atom
- VASP energy: -22.95 eV per formula unit
- Calculated volume: 131.73 Å³/f.u.
- Mass density: 9.15 g/cm³
- Formation energy from the elements: 1.6 eV per formula unit

abc: 5.0881 5.0881 5.0881
angles: 90.00 90.00 90.00
Closest atoms and distances in Å follow each position.
Space group Pm-3m (No. 221)
Asymmetric unit:
Sc (0.0000, 0.0000, 0.0000) x1  12 Pb 3.60
Co (0.5000, 0.5000, 0.5000) x1  6 Pb 2.54
Pb (0.0000, 0.5000, 0.5000) x3  2 Co 2.54

---

Material: NaCa2Pm
Method: DFT, PBE-GGA
State: optimized geometry

Results
- Polymorph energy (0 for the lowest one): 2 meV per atom
- VASP energy: -9.74 eV per formula unit
- Calculated volume: 154.04 Å³/f.u.
- Mass density: 2.67 g/cm³
- Formation energy from the elements: 0.3 eV per formula unit

abc: 3.7951 3.7951 37.0499
angles: 90.00 90.00 120.00
Closest atoms and distances in Å follow each position.
Space group R3m (No. 160, hexagonal axes)
Asymmetric unit:
Na (0.0000, 0.0000, 0.0000) x3  6 Na 3.80, 6 Ca 3.85
Ca (0.0000, 0.0000, 0.4188) x3  3 Pm 3.73, 6 Ca 3.80, 3 Na 3.85
Ca (0.0000, 0.0000, 0.5813) x3  3 Pm 3.72, 6 Ca 3.80, 3 Na 3.85
Pm (0.0000, 0.0000, 0.8335) x3  6 Ca 3.72-3.73, 6 Pm 3.80

---

Material: SrMnBe
Method: DFT, PBE-GGA
State: optimized geometry

Results
- Polymorph energy (0 for the lowest one): 318 meV per atom
- VASP energy: -12.10 eV per formula unit
- Calculated volume: 73.85 Å³/f.u.
- Mass density: 3.41 g/cm³
- Formation energy from the elements: 2.5 eV per formula unit

abc: 6.6600 6.6600 6.6600
angles: 90.00 90.00 90.00
Closest atoms and distances in Å follow each position.
Space group F-43m (No. 216)
Asymmetric unit:
Sr (0.0000, 0.0000, 0.0000) x4  4 Be 2.88
Mn (0.0000, 0.0000, 0.5000) x4  4 Be 2.88
Be (0.2500, 0.2500, 0.2500) x4  4 Mn 2.88, 4 Sr 2.88

---

Material: Ac4AgPt3
Method: DFT, PBE-GGA
State: optimized geometry

Results
- VASP energy: -44.96 eV per formula unit
- Calculated volume: 248.81 Å³/f.u.
- Mass density: 10.69 g/cm³
- Formation energy from the elements: -7.6 eV per formula unit

abc: 8.9252 12.5690 4.4358
angles: 90.00 90.00 90.00
Closest atoms and distances in Å follow each position.
Space group Cmmm (No. 65)
Asymmetric unit:
Ac (0.0000, 0.2432, 0.0000) x4  5 Pt 3.06-3.15, 1 Ag 3.23
Ac (0.2351, 0.0000, 0.5000) x4  4 Pt 3.05-3.15, 2 Ag 3.24
Ag (0.0000, 0.5000, 0.0000) x2  6 Ac 3.23-3.24
Pt (0.0000, 0.0000, 0.0000) x2  6 Ac 3.05-3.06
Pt (0.2500, 0.2500, 0.5000) x4  6 Ac 3.15

---

Material: YTiB2S
Method: DFT, PBE-GGA
State: optimized geometry

Results
- Polymorph energy (0 for the lowest one): 0 meV per atom
- VASP energy: -27.45 eV per formula unit
- Calculated volume: 106.90 Å³/f.u.
- Mass density: 2.96 g/cm³
- Formation energy without anion corrections: 0.88 eV/atom

abc: 4.0505 4.0505 6.5159
angles: 90.00 90.00 90.00
Closest atoms and distances in Å follow each position.
Space group P4/mmm (No. 123)
Asymmetric unit:
Y (0.0000, 0.0000, 0.0000) x1  4 S 2.86
Ti (0.0000, 0.0000, 0.5000) x1  4 B 2.03
B (0.0000, 0.5000, 0.5000) x2  2 Ti 2.03
S (0.5000, 0.5000, 0.0000) x1  4 Y 2.86

---

Material: MgAgF2
Method: DFT, PBE-GGA
State: optimized geometry

Results
- Polymorph energy (0 for the lowest one): 865 meV per atom
- VASP energy: -14.38 eV per formula unit
- Calculated volume: 74.70 Å³/f.u.
- Mass density: 3.78 g/cm³
- Formation energy without anion corrections: -1.55 eV/atom

abc: 3.6345 3.6345 19.5899
angles: 90.00 90.00 120.00
Closest atoms and distances in Å follow each position.
Space group R-3m (No. 166, hexagonal axes)
Asymmetric unit:
Mg (0.0000, 0.0000, 0.0000) x3  2 F 1.88
Ag (0.0000, 0.0000, 0.5000) x3  6 F 2.51
F (0.0000, 0.0000, 0.0959) x6  1 Mg 1.88

---

Material: Be2V2Hg
Method: DFT, PBE-GGA
State: optimized geometry

Results
- Polymorph energy (0 for the lowest one): 315 meV per atom
- VASP energy: -23.76 eV per formula unit
- Calculated volume: 68.81 Å³/f.u.
- Mass density: 7.73 g/cm³
- Formation energy from the elements: 2.2 eV per formula unit

abc: 7.0638 7.0638 2.7579
angles: 90.00 90.00 90.00
Closest atoms and distances in Å follow each position.
Space group P4/mbm (No. 127)
Asymmetric unit:
Be (0.1847, 0.3153, 0.0000) x4  6 V 2.44-2.57
V (0.1132, 0.6132, 0.5000) x4  1 V 2.26, 2 Be 2.44
Hg (0.0000, 0.0000, 0.5000) x2  2 Hg 2.76, 4 V 2.85, 8 Be 2.93

---

Material: YGa2Tc4
Method: DFT, PBE-GGA
State: optimized geometry

Results
- VASP energy: -55.86 eV per formula unit
- Calculated volume: 123.90 Å³/f.u.
- Mass density: 8.31 g/cm³
- Formation energy from the elements: -1.9 eV per formula unit

abc: 4.1928 14.1031 4.1908
angles: 90.00 90.00 90.00
Closest atoms and distances in Å follow each position.
Space group Cmmm (No. 65)
Asymmetric unit:
Y (0.0000, 0.0000, 0.0000) x2  8 Ga 3.21, 8 Tc 3.50
Ga (0.0000, 0.4123, 0.5000) x4  1 Ga 2.47, 4 Tc 2.61-2.62
Tc (0.0000, 0.1983, 0.5000) x4  4 Tc 2.55, 2 Ga 2.61
Tc (0.0000, 0.3010, 0.0000) x4  4 Tc 2.54-2.55, 2 Ga 2.62

---

Material: K3Nd2TmSe6
Method: DFT, PBE-GGA
State: optimized geometry

Results
- VASP energy: -59.19 eV per formula unit
- Calculated volume: 367.95 Å³/f.u.
- Mass density: 4.73 g/cm³
- Formation energy without anion corrections: -1.75 eV/atom

abc: 7.4282 12.8664 8.0895
angles: 90.00 107.86 90.00
Closest atoms and distances in Å follow each position.
Space group C2/m (No. 12)
Asymmetric unit:
K (0.0000, 0.0000, 0.0000) x2  6 Se 3.32-3.41
K (0.0000, 0.3315, 0.0000) x4  6 Se 3.32-3.39
Nd (0.0000, 0.1664, 0.5000) x4  6 Se 2.98
Tm (0.0000, 0.5000, 0.5000) x2  6 Se 2.88
Se (0.2306, 0.3387, 0.7079) x8  1 Tm 2.88, 2 Nd 2.98
Se (0.2471, 0.0000, 0.7081) x4  1 Tm 2.88, 2 Nd 2.98

---

Material: Mg2UGa6
Method: DFT, PBE-GGA
State: optimized geometry

Results
- VASP energy: -34.23 eV per formula unit
- Calculated volume: 167.28 Å³/f.u.
- Mass density: 7.00 g/cm³
- Formation energy from the elements: -1.6 eV per formula unit

abc: 14.1371 8.0817 2.9283
angles: 90.00 90.25 90.00
Closest atoms and distances in Å follow each position.
Space group C2/m (No. 12)
Asymmetric unit:
Mg (0.1665, 0.0000, 0.9998) x4  2 Mg 2.93, 12 Ga 3.04-3.07
U (0.0000, 0.5000, 0.0000) x2  2 U 2.93, 12 Ga 3.11-3.13
Ga (0.0000, 0.1605, 0.5000) x4  3 Ga 2.59-2.76
Ga (0.1697, 0.3301, 0.5005) x8  3 Ga 2.61-2.76